ThCuBiRh after structural relaxation. Source: Alexandria via LeMat-Bulk, functional PBE-GGA.

a b c (Å): 6.9847 6.9847 6.9847
angles (deg): 90.00 90.00 90.00
Closest atoms and distances in Å follow each position.
Space group F-43m (No. 216)
Asymmetric unit:
Th 0.0000 0.0000 0.0000 [4 per cell]  4 Cu 3.02, 4 Rh 3.02
Cu 0.2500 0.2500 0.2500 [4 per cell]  4 Th 3.02, 4 Bi 3.02
Bi 0.0000 0.0000 0.5000 [4 per cell]  4 Cu 3.02, 4 Rh 3.02
Rh 0.2500 0.2500 0.7500 [4 per cell]  4 Th 3.02, 4 Bi 3.02

DOS at the Fermi energy, states/eV/atom: 0.542
Size of the total moment, μB per formula unit: 0.0
Raw total energy, eV/atom: -6.075
Crystal system: cubic


TmCuBiRh after structural relaxation. Source: Alexandria via LeMat-Bulk, functional PBE-GGA.

a b c (Å): 6.7746 6.7746 6.7746
angles (deg): 90.00 90.00 90.00
Closest atoms and distances in Å follow each position.
Space group F-43m (No. 216)
Asymmetric unit:
Tm 0.0000 0.0000 0.0000 [4 per cell]  4 Cu 2.93, 4 Rh 2.93
Cu 0.2500 0.2500 0.2500 [4 per cell]  4 Bi 2.93, 4 Tm 2.93
Bi 0.0000 0.0000 0.5000 [4 per cell]  4 Cu 2.93, 4 Rh 2.93
Rh 0.2500 0.2500 0.7500 [4 per cell]  4 Bi 2.93, 4 Tm 2.93

DOS at the Fermi energy, states/eV/atom: 0.716
Size of the total moment, μB per formula unit: 0.0
Raw total energy, eV/atom: -5.339
Crystal system: cubic


YCuBiRh after structural relaxation. Source: Alexandria via LeMat-Bulk, functional PBE-GGA.

a b c (Å): 6.8319 6.8319 6.8319
angles (deg): 90.00 90.00 90.00
Closest atoms and distances in Å follow each position.
Space group F-43m (No. 216)
Asymmetric unit:
Y 0.0000 0.0000 0.0000 [4 per cell]  4 Cu 2.96, 4 Rh 2.96
Cu 0.2500 0.2500 0.2500 [4 per cell]  4 Bi 2.96, 4 Y 2.96
Bi 0.0000 0.0000 0.5000 [4 per cell]  4 Cu 2.96, 4 Rh 2.96
Rh 0.2500 0.2500 0.7500 [4 per cell]  4 Bi 2.96, 4 Y 2.96

DOS at the Fermi energy, states/eV/atom: 0.681
Size of the total moment, μB per formula unit: 0.0
Raw total energy, eV/atom: -5.831
Crystal system: cubic


CuBiRu after structural relaxation. Source: Alexandria via LeMat-Bulk, functional PBE-GGA.

a b c (Å): 4.2367 4.2367 6.2556
angles (deg): 90.00 90.00 90.00
Closest atoms and distances in Å follow each position.
Space group P4/nmm (No. 129, origin choice 2)
Asymmetric unit:
Cu 0.2500 0.2500 0.2431 [2 per cell]  4 Ru 2.66, 1 Bi 2.84
Bi 0.2500 0.2500 0.7896 [2 per cell]  4 Ru 2.79, 5 Cu 2.84-3.00
Ru 0.2500 0.7500 0.5000 [2 per cell]  4 Cu 2.66, 4 Bi 2.79

DOS at the Fermi energy, states/eV/atom: 0.547
Size of the total moment, μB per formula unit: 0.0
Raw total energy, eV/atom: -5.549
Crystal system: tetragonal


CuBiRu2 after structural relaxation. Source: Alexandria via LeMat-Bulk, functional PBE-GGA.

a b c (Å): 3.9904 3.9904 18.4645
angles (deg): 90.00 90.00 90.00
Closest atoms and distances in Å follow each position.
Space group I-42d (No. 122)
Asymmetric unit:
Cu 0.0000 0.0000 0.0000 [4 per cell]  4 Ru 2.61, 4 Bi 2.82
Bi 0.0000 0.0000 0.5000 [4 per cell]  4 Cu 2.82, 4 Ru 2.83
Ru 0.1730 0.2500 0.1250 [8 per cell]  2 Ru 2.43, 2 Cu 2.61

DOS at the Fermi energy, states/eV/atom: 0.509
Size of the total moment, μB per formula unit: 1.1
Raw total energy, eV/atom: -6.007
Crystal system: tetragonal


CuBi2Ru after structural relaxation. Source: Alexandria via LeMat-Bulk, functional PBE-GGA.

a b c (Å): 6.5515 6.5515 10.3337
angles (deg): 90.00 90.00 90.00
Closest atoms and distances in Å follow each position.
Space group I-42d (No. 122)
Asymmetric unit:
Cu 0.0000 0.0000 0.0000 [4 per cell]  4 Bi 2.67
Bi 0.2452 0.2500 0.6250 [8 per cell]  2 Ru 2.63, 2 Cu 2.67
Ru 0.0000 0.0000 0.5000 [4 per cell]  4 Bi 2.63

DOS at the Fermi energy, states/eV/atom: 0.701
Size of the total moment, μB per formula unit: 0.0
Raw total energy, eV/atom: -4.650
Crystal system: tetragonal


CuBiRuSe2 after structural relaxation. Source: Alexandria via LeMat-Bulk, functional PBE-GGA.

a b c (Å): 5.5949 5.5949 4.8023
angles (deg): 90.00 90.00 90.00
Closest atoms and distances in Å follow each position.
Space group P4/mmm (No. 123)
Asymmetric unit:
Cu 0.0000 0.0000 0.0000 [1 per cell]  2 Bi 2.40
Bi 0.0000 0.0000 0.5000 [1 per cell]  2 Cu 2.40
Ru 0.5000 0.5000 0.0000 [1 per cell]  8 Se 3.69, 4 Cu 3.96
Se 0.0000 0.5000 0.5000 [2 per cell]  2 Bi 2.80

DOS at the Fermi energy, states/eV/atom: 1.432
Size of the total moment, μB per formula unit: 3.4
Raw total energy, eV/atom: -3.503
Crystal system: tetragonal


CuTcBi2Ru after structural relaxation. Source: Alexandria via LeMat-Bulk, functional PBE-GGA.

a b c (Å): 5.2491 5.2491 4.6905
angles (deg): 90.00 90.00 90.00
Closest atoms and distances in Å follow each position.
Space group P4/mmm (No. 123)
Asymmetric unit:
Cu 0.0000 0.0000 0.0000 [1 per cell]  8 Bi 3.52, 4 Tc 3.71
Tc 0.5000 0.5000 0.0000 [1 per cell]  2 Ru 2.35
Bi 0.0000 0.5000 0.5000 [2 per cell]  2 Ru 2.62
Ru 0.5000 0.5000 0.5000 [1 per cell]  2 Tc 2.35, 4 Bi 2.62

DOS at the Fermi energy, states/eV/atom: 1.257
Size of the total moment, μB per formula unit: 1.6
Raw total energy, eV/atom: -5.059
Crystal system: tetragonal


CuTc2BiRu after structural relaxation. Source: Alexandria via LeMat-Bulk, functional PBE-GGA.

a b c (Å): 4.6828 4.6828 5.1593
angles (deg): 90.00 90.00 90.00
Closest atoms and distances in Å follow each position.
Space group P4/mmm (No. 123)
Asymmetric unit:
Cu 0.0000 0.0000 0.0000 [1 per cell]  4 Bi 3.31, 8 Tc 3.48
Tc 0.0000 0.5000 0.5000 [2 per cell]  2 Ru 2.34
Bi 0.5000 0.5000 0.0000 [1 per cell]  2 Ru 2.58
Ru 0.5000 0.5000 0.5000 [1 per cell]  4 Tc 2.34, 2 Bi 2.58

DOS at the Fermi energy, states/eV/atom: 1.100
Size of the total moment, μB per formula unit: 2.0
Raw total energy, eV/atom: -5.956
Crystal system: tetragonal


VCu2BiRu after structural relaxation. Source: Alexandria via LeMat-Bulk, functional PBE-GGA.

a b c (Å): 4.6579 4.6579 5.0142
angles (deg): 90.00 90.00 90.00
Closest atoms and distances in Å follow each position.
Space group P4/mmm (No. 123)
Asymmetric unit:
V 0.0000 0.0000 0.0000 [1 per cell]  4 Bi 3.29, 8 Cu 3.42
Cu 0.0000 0.5000 0.5000 [2 per cell]  2 Ru 2.33
Bi 0.5000 0.5000 0.0000 [1 per cell]  2 Ru 2.51
Ru 0.5000 0.5000 0.5000 [1 per cell]  4 Cu 2.33, 2 Bi 2.51

DOS at the Fermi energy, states/eV/atom: 0.984
Size of the total moment, μB per formula unit: 0.1
Raw total energy, eV/atom: -4.737
Crystal system: tetragonal


Cu5BiS4 after structural relaxation. Source: Alexandria via LeMat-Bulk, functional PBE-GGA.

a b c (Å): 7.6892 9.2752 5.3587
angles (deg): 90.00 90.00 90.00
Closest atoms and distances in Å follow each position.
Space group Pmmn (No. 59, origin choice 2)
Asymmetric unit:
Cu 0.0421 0.0786 0.1933 [8 per cell]  2 S 2.21-2.27
Cu 0.2500 0.7500 0.2835 [2 per cell]  4 S 2.29-2.36
Bi 0.2500 0.2500 0.8131 [2 per cell]  2 S 2.68
S 0.0050 0.7500 0.5276 [4 per cell]  3 Cu 2.21-2.29
S 0.2500 0.5546 0.0018 [4 per cell]  5 Cu 2.27-2.49

DOS at the Fermi energy, states/eV/atom: 0.119
Size of the total moment, μB per formula unit: 0.0
Raw total energy, eV/atom: -4.209
Crystal system: orthorhombic


Cu2BiS after structural relaxation. Source: Alexandria via LeMat-Bulk, functional PBE-GGA.

a b c (Å): 6.1264 6.1264 9.2086
angles (deg): 90.00 90.00 90.00
Closest atoms and distances in Å follow each position.
Space group I-42d (No. 122)
Asymmetric unit:
Cu 0.1829 0.2500 0.1250 [8 per cell]  2 S 2.22
Bi 0.0000 0.0000 0.5000 [4 per cell]  4 Cu 2.73
S 0.0000 0.0000 0.0000 [4 per cell]  4 Cu 2.22

DOS at the Fermi energy, states/eV/atom: 0.200
Size of the total moment, μB per formula unit: 0.0
Raw total energy, eV/atom: -4.015
Crystal system: tetragonal


CuBiS3 after structural relaxation. Source: Alexandria via LeMat-Bulk, functional PBE-GGA.

a b c (Å): 6.5859 10.6738 6.6522
angles (deg): 90.00 90.00 90.00
Closest atoms and distances in Å follow each position.
Space group Pnma (No. 62)
Asymmetric unit:
Cu 0.1890 0.2500 0.1056 [4 per cell]  4 S 2.26-2.41
Bi 0.0000 0.0000 0.5000 [4 per cell]  6 S 2.75-2.93
S 0.0410 0.2500 0.4118 [4 per cell]  2 Cu 2.26-2.32
S 0.0824 0.0681 0.9189 [8 per cell]  1 S 2.11

Relative energy among the computed polymorphs, meV per atom: 0
Size of the total moment, μB per formula unit: 0.0
Raw total energy, eV/atom: -4.240
Crystal system: orthorhombic


Cu2BiS2 after structural relaxation. Source: Alexandria via LeMat-Bulk, functional PBE-GGA.

a b c (Å): 4.6645 4.6645 8.2750
angles (deg): 90.00 90.00 90.00
Closest atoms and distances in Å follow each position.
Space group I4/mmm (No. 139)
Asymmetric unit:
Cu 0.0000 0.0000 0.1533 [4 per cell]  4 S 2.47, 1 Cu 2.54
Bi 0.0000 0.0000 0.5000 [2 per cell]  2 Cu 2.87, 8 S 3.12
S 0.0000 0.5000 0.2500 [4 per cell]  4 Cu 2.47

DOS at the Fermi energy, states/eV/atom: 0.560
Size of the total moment, μB per formula unit: 0.0
Raw total energy, eV/atom: -3.910
Crystal system: tetragonal


Cu2BiS2 after structural relaxation. Source: Alexandria via LeMat-Bulk, functional PBE-GGA.

a b c (Å): 3.6595 3.9151 13.4903
angles (deg): 90.00 90.00 90.00
Closest atoms and distances in Å follow each position.
Space group Amm2 (No. 38)
Asymmetric unit:
Cu 0.0000 0.0000 0.0000 [2 per cell]  4 S 2.30-2.46
Cu 0.5000 0.0000 0.4982 [2 per cell]  4 S 2.38-2.39
Bi 0.0000 0.0000 0.2543 [2 per cell]  2 S 2.75
S 0.0000 0.0000 0.6109 [2 per cell]  4 Cu 2.38-2.46
S 0.5000 0.0000 0.8962 [2 per cell]  4 Cu 2.30-2.39

DOS at the Fermi energy, states/eV/atom: 0.320
Size of the total moment, μB per formula unit: 0.0
Raw total energy, eV/atom: -4.161
Crystal system: orthorhombic


CuBi5S8 after structural relaxation. Source: Alexandria via LeMat-Bulk, functional PBE-GGA.

a b c (Å): 13.2486 4.0698 14.3868
angles (deg): 90.00 114.64 90.00
Closest atoms and distances in Å follow each position.
Space group C2 (No. 5)
Asymmetric unit:
Cu 0.0000 0.0000 0.0000 [2 per cell]  4 S 2.35-2.37
Bi 0.0000 0.2897 0.5000 [2 per cell]  6 S 2.82-2.84
Bi 0.1560 0.7920 0.3458 [4 per cell]  5 S 2.71-3.00
Bi 0.2152 0.8261 0.8658 [4 per cell]  4 S 2.60-2.91
S 0.0052 0.2876 0.3052 [4 per cell]  3 Bi 2.73-2.83
S 0.1250 0.2858 0.9516 [4 per cell]  1 Cu 2.35, 1 Bi 2.60
S 0.1437 0.8062 0.1532 [4 per cell]  1 Cu 2.37
S 0.1636 0.7867 0.5655 [4 per cell]  5 Bi 2.82-3.12

Relative energy among the computed polymorphs, meV per atom: 0
DOS at the Fermi energy, states/eV/atom: 0.094
Size of the total moment, μB per formula unit: 0.0
Raw total energy, eV/atom: -4.362
Crystal system: monoclinic


Cu4Bi7S12 after structural relaxation. Source: Alexandria via LeMat-Bulk, functional PBE-GGA.

a b c (Å): 18.4960 3.9653 15.1766
angles (deg): 90.00 102.21 90.00
Closest atoms and distances in Å follow each position.
Space group C2/m (No. 12)
Asymmetric unit:
Cu 0.0931 0.0000 0.4956 [4 per cell]  4 S 2.34-2.36
Cu 0.1668 0.0000 0.1406 [4 per cell]  3 S 2.24-2.32
Bi 0.0000 0.5000 0.0000 [2 per cell]  6 S 2.80-2.92
Bi 0.0068 0.5000 0.7208 [4 per cell]  3 S 2.68-2.72
Bi 0.1708 0.0000 0.9090 [4 per cell]  6 S 2.74-3.07
Bi 0.2370 0.5000 0.3711 [4 per cell]  3 S 2.63-2.72
S 0.0193 0.0000 0.8763 [4 per cell]  5 Bi 2.74-3.05
S 0.0221 0.0000 0.6074 [4 per cell]  2 Cu 2.35-2.36
S 0.1503 0.0000 0.2825 [4 per cell]  1 Cu 2.24
S 0.1563 0.5000 0.7811 [4 per cell]  3 Bi 2.72-2.75
S 0.1610 0.5000 0.0600 [4 per cell]  2 Cu 2.32
S 0.1614 0.5000 0.4996 [4 per cell]  2 Cu 2.34

DOS at the Fermi energy, states/eV/atom: 0.126
Size of the total moment, μB per formula unit: 0.0
Raw total energy, eV/atom: -4.317
Crystal system: monoclinic


Cu2Bi2S5 after structural relaxation. Source: Alexandria via LeMat-Bulk, functional PBE-GGA.

a b c (Å): 15.4543 4.0529 6.5861
angles (deg): 90.00 97.59 90.00
Closest atoms and distances in Å follow each position.
Space group C2/m (No. 12)
Asymmetric unit:
Cu 0.1480 0.0000 0.3963 [4 per cell]  4 S 2.28-2.47
Bi 0.0677 0.5000 0.8178 [4 per cell]  3 S 2.63-2.68
S 0.0000 0.0000 0.5000 [2 per cell]  2 Cu 2.47
S 0.1454 0.0000 0.0389 [4 per cell]  1 Cu 2.35
S 0.1789 0.5000 0.5484 [4 per cell]  2 Cu 2.28

DOS at the Fermi energy, states/eV/atom: 0.681
Size of the total moment, μB per formula unit: 0.0
Raw total energy, eV/atom: -4.205
Crystal system: monoclinic


CuBiS after structural relaxation. Source: Alexandria via LeMat-Bulk, functional PBE-GGA.

a b c (Å): 3.7497 3.7497 5.0268
angles (deg): 90.00 90.00 120.00
Closest atoms and distances in Å follow each position.
Space group P3m1 (No. 156)
Asymmetric unit:
Cu 0.0000 0.0000 0.0000 [1 per cell]  3 S 2.37
Bi 0.6667 0.3333 0.3600 [1 per cell]  3 Cu 2.82, 3 S 3.13
S 0.3333 0.6667 0.8092 [1 per cell]  3 Cu 2.37

DOS at the Fermi energy, states/eV/atom: 0.631
Size of the total moment, μB per formula unit: 0.0
Raw total energy, eV/atom: -4.101
Crystal system: trigonal


CuBiS after structural relaxation. Source: Alexandria via LeMat-Bulk, functional PBE-GGA.

a b c (Å): 4.0797 5.7094 6.4018
angles (deg): 79.89 89.87 80.95
Closest atoms and distances in Å follow each position.
Space group P1 (No. 1)
Asymmetric unit:
Cu 0.0000 0.0000 0.0000 [1 per cell]  3 S 2.27-2.28
Cu 0.4738 0.0546 0.4995 [1 per cell]  3 S 2.28-2.29
Bi 0.0751 0.5669 0.3977 [1 per cell]  2 S 2.88-2.94, 2 Bi 3.08-3.09, 2 Cu 3.08-3.20
Bi 0.5931 0.4870 0.7641 [1 per cell]  1 S 2.74
S 0.5122 0.9408 0.8600 [1 per cell]  3 Cu 2.27-2.28
S 0.9694 0.0851 0.3355 [1 per cell]  3 Cu 2.28-2.29

DOS at the Fermi energy, states/eV/atom: 0.089
Size of the total moment, μB per formula unit: 0.0
Raw total energy, eV/atom: -4.158
Crystal system: triclinic